1.
# ErAl2S4 (GGA-PBE, relaxed)
data_ErAl2S4
_chemical_formula_sum 'Er1 Al2 S4'
_symmetry_space_group_name_H-M 'P 1'
_symmetry_Int_Tables_number 1
_cell_length_a 6.187
_cell_length_b 6.187
_cell_length_c 6.187
_cell_angle_alpha 103.85
_cell_angle_beta 103.85
_cell_angle_gamma 121.41
loop_
_symmetry_equiv_pos_as_xyz
'x,y,z'
loop_
_atom_site_label
_atom_site_fract_x
_atom_site_fract_y
_atom_site_fract_z
Er1 0.500 0.500 0.000
Al1 0.250 0.750 0.500
S1 0.170 0.645 0.815
S2 0.830 0.355 0.185
S3 0.645 0.830 0.475
S4 0.355 0.170 0.525
Al2 0.750 0.250 0.500
# - Formation energy without anion corrections: -1.086 eV/atom
# - Excess energy over the best structure of this formula in the dataset: 136 meV/atom
# - Spin magnetization: 0.142 μB/atom

=====

2.
# Er3Al5S12 (GGA-PBE, relaxed)
data_Er3Al5S12
_chemical_formula_sum 'Er12 Al20 S48'
_symmetry_space_group_name_H-M 'P 1'
_symmetry_Int_Tables_number 1
_cell_length_a 12.876
_cell_length_b 12.876
_cell_length_c 12.876
_cell_angle_alpha 109.47
_cell_angle_beta 109.47
_cell_angle_gamma 109.47
loop_
_symmetry_equiv_pos_as_xyz
'x,y,z'
loop_
_atom_site_label
_atom_site_fract_x
_atom_site_fract_y
_atom_site_fract_z
S1 0.622 0.031 0.208
S2 0.323 0.531 0.409
S3 0.292 0.878 0.969
S4 0.086 0.177 0.208
S5 0.409 0.031 0.323
Er1 0.875 0.750 0.125
Er2 0.250 0.125 0.375
Al1 0.500 0.000 0.500
S6 0.909 0.086 0.878
Al2 0.125 0.375 0.250
S7 0.677 0.469 0.591
S8 0.409 0.378 0.586
S9 0.531 0.208 0.122
Al3 0.125 0.750 0.375
S10 0.878 0.292 0.469
Er3 0.125 0.250 0.875
S11 0.414 0.122 0.591
S12 0.378 0.409 0.086
Al4 0.750 0.125 0.875
S13 0.622 0.591 0.914
Al5 0.375 0.250 0.125
S14 0.823 0.914 0.292
Al6 0.000 0.000 0.500
S15 0.122 0.708 0.531
S16 0.091 0.914 0.122
S17 0.292 0.414 0.823
Al7 0.250 0.375 0.625
Al8 0.875 0.250 0.625
S18 0.208 0.677 0.086
S19 0.586 0.708 0.677
Er4 0.375 0.625 0.250
S20 0.091 0.177 0.469
Er5 0.875 0.125 0.250
S21 0.823 0.909 0.031
Al9 0.500 0.000 0.000
S22 0.414 0.292 0.323
Al10 0.875 0.625 0.750
S23 0.591 0.969 0.677
S24 0.708 0.586 0.177
Al11 0.000 0.500 0.000
S25 0.969 0.591 0.177
S26 0.031 0.622 0.708
Al12 0.000 0.000 0.000
Al13 0.500 0.500 0.500
Er6 0.125 0.875 0.750
S27 0.969 0.378 0.292
Er7 0.750 0.875 0.625
S28 0.677 0.208 0.586
S29 0.792 0.323 0.914
S30 0.469 0.677 0.091
S31 0.792 0.469 0.378
S32 0.469 0.792 0.878
S33 0.914 0.823 0.792
Al14 0.750 0.625 0.375
Er8 0.625 0.250 0.375
Al15 0.375 0.125 0.750
Al16 0.625 0.875 0.250
S34 0.708 0.122 0.031
S35 0.177 0.086 0.708
S36 0.586 0.878 0.409
S37 0.909 0.823 0.531
S38 0.591 0.622 0.414
S39 0.878 0.586 0.909
S40 0.323 0.792 0.414
Al17 0.250 0.875 0.125
S41 0.122 0.414 0.091
Er9 0.750 0.375 0.125
S42 0.177 0.091 0.969
Al18 0.625 0.750 0.875
S43 0.031 0.409 0.823
Er10 0.250 0.625 0.875
Al19 0.000 0.500 0.500
Er11 0.375 0.750 0.625
Er12 0.625 0.375 0.750
S44 0.531 0.323 0.909
Al20 0.500 0.500 0.000
S45 0.914 0.091 0.622
S46 0.378 0.969 0.792
S47 0.086 0.909 0.378
S48 0.208 0.531 0.622
# - Formation energy without anion corrections: -1.438 eV/atom
# - Spin magnetization: 0.000 μB/atom

=====

3.
# ErAlS3 (GGA-PBE, relaxed)
data_ErAlS3
_chemical_formula_sum 'Er2 Al2 S6'
_symmetry_space_group_name_H-M 'P 1'
_symmetry_Int_Tables_number 1
_cell_length_a 3.846
_cell_length_b 6.344
_cell_length_c 11.681
_cell_angle_alpha 105.76
_cell_angle_beta 90.00
_cell_angle_gamma 90.00
loop_
_symmetry_equiv_pos_as_xyz
'x,y,z'
loop_
_atom_site_label
_atom_site_fract_x
_atom_site_fract_y
_atom_site_fract_z
S1 0.250 0.710 0.439
Al1 0.750 0.524 0.745
S2 0.750 0.599 0.171
S3 0.750 0.879 0.752
S4 0.250 0.127 0.248
Er1 0.750 0.397 0.352
S5 0.750 0.270 0.561
S6 0.250 0.428 0.829
Er2 0.250 0.045 0.648
Al2 0.250 0.779 0.255
# - Formation energy without anion corrections: -1.564 eV/atom
# - Spin magnetization: 0.000 μB/atom

=====

4.
# Er4AlSe2S (GGA-PBE, relaxed)
data_Er4AlSe2S
_chemical_formula_sum 'Er4 Al1 Se2 S1'
_symmetry_space_group_name_H-M 'P 1'
_symmetry_Int_Tables_number 1
_cell_length_a 3.929
_cell_length_b 7.135
_cell_length_c 7.073
_cell_angle_alpha 71.51
_cell_angle_beta 90.00
_cell_angle_gamma 90.00
loop_
_symmetry_equiv_pos_as_xyz
'x,y,z'
loop_
_atom_site_label
_atom_site_fract_x
_atom_site_fract_y
_atom_site_fract_z
Er1 0.000 0.266 0.243
S1 0.500 0.500 0.000
Se1 0.500 0.000 0.500
Er2 0.000 0.734 0.757
Er3 0.500 0.747 0.247
Se2 0.000 0.000 0.000
Al1 0.000 0.500 0.500
Er4 0.500 0.253 0.753
# - Formation energy without anion corrections: -1.394 eV/atom
# - Spin magnetization: 0.000 μB/atom

=====

5.
# TbEr2AlS6 (GGA-PBE, relaxed)
data_TbEr2AlS6
_chemical_formula_sum 'Tb1 Er2 Al1 S6'
_symmetry_space_group_name_H-M 'P 1'
_symmetry_Int_Tables_number 1
_cell_length_a 6.694
_cell_length_b 6.694
_cell_length_c 7.096
_cell_angle_alpha 61.85
_cell_angle_beta 61.86
_cell_angle_gamma 60.00
loop_
_symmetry_equiv_pos_as_xyz
'x,y,z'
loop_
_atom_site_label
_atom_site_fract_x
_atom_site_fract_y
_atom_site_fract_z
Er1 0.018 0.018 0.947
S1 0.120 0.419 0.768
Er2 0.521 0.521 0.436
Tb1 0.815 0.815 0.554
S2 0.584 0.217 0.246
S3 0.419 0.693 0.768
Al1 0.321 0.321 0.037
S4 0.693 0.120 0.768
S5 0.217 0.954 0.246
S6 0.954 0.584 0.246
# - Formation energy without anion corrections: -1.749 eV/atom
# - Spin magnetization: 0.000 μB/atom

=====

6.
# Er3AlTl4S8 (GGA-PBE, relaxed)
data_Er3AlTl4S8
_chemical_formula_sum 'Er3 Al1 Tl4 S8'
_symmetry_space_group_name_H-M 'P 1'
_symmetry_Int_Tables_number 1
_cell_length_a 7.821
_cell_length_b 8.779
_cell_length_c 7.821
_cell_angle_alpha 116.45
_cell_angle_beta 120.00
_cell_angle_gamma 90.00
loop_
_symmetry_equiv_pos_as_xyz
'x,y,z'
loop_
_atom_site_label
_atom_site_fract_x
_atom_site_fract_y
_atom_site_fract_z
Tl1 0.500 0.000 0.500
Er1 0.500 0.500 0.000
S1 0.267 0.302 0.535
Tl2 0.000 0.000 0.000
S2 0.733 0.698 0.465
S3 0.752 0.687 0.970
S4 0.218 0.687 0.970
Er2 0.500 0.500 0.500
Tl3 0.000 0.000 0.500
S5 0.782 0.313 0.564
Al1 0.000 0.500 0.000
S6 0.218 0.687 0.436
S7 0.248 0.313 0.030
S8 0.782 0.313 0.030
Er3 0.000 0.500 0.500
Tl4 0.500 0.000 0.000
# - Formation energy without anion corrections: -1.275 eV/atom
# - Spin magnetization: 0.000 μB/atom

=====

> Among the records above, which one has the lowest formation energy without anion corrections?

TbEr2AlS6

=====

> Which value of spin magnetization does entry 2 give?

0.000 μB/atom

=====

Please write out number 2 again, unchanged.
# Er3Al5S12 (GGA-PBE, relaxed)
data_Er3Al5S12
_chemical_formula_sum 'Er12 Al20 S48'
_symmetry_space_group_name_H-M 'P 1'
_symmetry_Int_Tables_number 1
_cell_length_a 12.876
_cell_length_b 12.876
_cell_length_c 12.876
_cell_angle_alpha 109.47
_cell_angle_beta 109.47
_cell_angle_gamma 109.47
loop_
_symmetry_equiv_pos_as_xyz
'x,y,z'
loop_
_atom_site_label
_atom_site_fract_x
_atom_site_fract_y
_atom_site_fract_z
S1 0.622 0.031 0.208
S2 0.323 0.531 0.409
S3 0.292 0.878 0.969
S4 0.086 0.177 0.208
S5 0.409 0.031 0.323
Er1 0.875 0.750 0.125
Er2 0.250 0.125 0.375
Al1 0.500 0.000 0.500
S6 0.909 0.086 0.878
Al2 0.125 0.375 0.250
S7 0.677 0.469 0.591
S8 0.409 0.378 0.586
S9 0.531 0.208 0.122
Al3 0.125 0.750 0.375
S10 0.878 0.292 0.469
Er3 0.125 0.250 0.875
S11 0.414 0.122 0.591
S12 0.378 0.409 0.086
Al4 0.750 0.125 0.875
S13 0.622 0.591 0.914
Al5 0.375 0.250 0.125
S14 0.823 0.914 0.292
Al6 0.000 0.000 0.500
S15 0.122 0.708 0.531
S16 0.091 0.914 0.122
S17 0.292 0.414 0.823
Al7 0.250 0.375 0.625
Al8 0.875 0.250 0.625
S18 0.208 0.677 0.086
S19 0.586 0.708 0.677
Er4 0.375 0.625 0.250
S20 0.091 0.177 0.469
Er5 0.875 0.125 0.250
S21 0.823 0.909 0.031
Al9 0.500 0.000 0.000
S22 0.414 0.292 0.323
Al10 0.875 0.625 0.750
S23 0.591 0.969 0.677
S24 0.708 0.586 0.177
Al11 0.000 0.500 0.000
S25 0.969 0.591 0.177
S26 0.031 0.622 0.708
Al12 0.000 0.000 0.000
Al13 0.500 0.500 0.500
Er6 0.125 0.875 0.750
S27 0.969 0.378 0.292
Er7 0.750 0.875 0.625
S28 0.677 0.208 0.586
S29 0.792 0.323 0.914
S30 0.469 0.677 0.091
S31 0.792 0.469 0.378
S32 0.469 0.792 0.878
S33 0.914 0.823 0.792
Al14 0.750 0.625 0.375
Er8 0.625 0.250 0.375
Al15 0.375 0.125 0.750
Al16 0.625 0.875 0.250
S34 0.708 0.122 0.031
S35 0.177 0.086 0.708
S36 0.586 0.878 0.409
S37 0.909 0.823 0.531
S38 0.591 0.622 0.414
S39 0.878 0.586 0.909
S40 0.323 0.792 0.414
Al17 0.250 0.875 0.125
S41 0.122 0.414 0.091
Er9 0.750 0.375 0.125
S42 0.177 0.091 0.969
Al18 0.625 0.750 0.875
S43 0.031 0.409 0.823
Er10 0.250 0.625 0.875
Al19 0.000 0.500 0.500
Er11 0.375 0.750 0.625
Er12 0.625 0.375 0.750
S44 0.531 0.323 0.909
Al20 0.500 0.500 0.000
S45 0.914 0.091 0.622
S46 0.378 0.969 0.792
S47 0.086 0.909 0.378
S48 0.208 0.531 0.622
# - Formation energy without anion corrections: -1.438 eV/atom
# - Spin magnetization: 0.000 μB/atom